Entry from Alexandria via LeMat-Bulk: a relaxed Pa2Ge4Rh3Au crystal (GGA-PBE).

Unit cell a=4.273 b=4.273 c=10.031 alpha=90.00 beta=90.00 gamma=90.00
Sites, in units of the cell vectors:
Pa 0.500 0.000 0.244
Pa 0.000 0.500 0.756
Ge 0.500 0.500 0.000
Ge 0.000 0.000 0.000
Ge 0.500 0.000 0.641
Ge 0.000 0.500 0.359
Rh 0.000 0.000 0.500
Rh 0.500 0.000 0.878
Rh 0.000 0.500 0.122
Au 0.500 0.500 0.500

Properties
- Crystal system: tetragonal
- V: 18.319 Å³/atom
- Energy of formation from the pure elements: -605 meV per atom

***

Entry from Alexandria via LeMat-Bulk: a relaxed AlCo2 crystal (GGA-PBE).

Unit cell a=4.717 b=4.717 c=5.966 alpha=76.94 beta=76.94 gamma=32.88
Each line ends with the local moment (μB).
Sites, in units of the cell vectors:
Al 0.992 0.992 0.010  -0.03
Al 0.686 0.686 0.644  -0.03
Co 0.332 0.332 0.326  1.05
Co 0.396 0.396 0.727  0.80
Co 0.047 0.047 0.398  1.31
Co 0.713 0.713 0.062  1.14

Properties
- Crystal system: monoclinic
- V: 11.674 Å³/atom
- Energy of formation from the pure elements: -221 meV per atom

***

Entry from Alexandria via LeMat-Bulk: a relaxed La4Pm6Nd crystal (GGA-PBE).

Unit cell a=7.729 b=7.729 c=8.743 alpha=116.23 beta=116.23 gamma=90.00
Sites, in units of the cell vectors:
La 0.099 0.744 0.843
La 0.901 0.901 0.157
La 0.744 0.099 0.843
La 0.256 0.256 0.157
Pm 0.915 0.458 0.373
Pm 0.458 0.915 0.373
Pm 0.542 0.542 0.627
Pm 0.000 0.500 0.000
Pm 0.085 0.085 0.627
Pm 0.500 0.000 0.000
Nd 0.500 0.500 0.000

Properties
- Crystal system: tetragonal
- ΔE to the lowest computed polymorph: 90 meV per atom
- V: 37.061 Å³/atom
- Energy of formation from the pure elements: 362 meV per atom

***

Entry from Alexandria via LeMat-Bulk: a relaxed NdEuYTh crystal (GGA-PBE).

Unit cell a=5.810 b=5.810 c=5.810 alpha=60.00 beta=60.00 gamma=60.00
Each line ends with the local moment (μB).
Sites, in units of the cell vectors:
Eu 0.250 0.250 0.250  6.85
Y 0.000 0.000 0.000  -0.04
Nd 0.500 0.500 0.500  -0.01
Th 0.750 0.750 0.750  -0.14

Properties
- Crystal system: cubic
- V: 34.670 Å³/atom
- Energy of formation from the pure elements: 216 meV per atom

***

Question: Among the records above, which one has the highest energy of formation from the pure elements?
Answer: La4Pm6Nd

***

Question: Which formula does entry 3 have?
Answer: La4Pm6Nd

***

Question: Look up the V of the third one.
Answer: 37.061 Å³/atom

***

Question: Which formula does entry 4 have?
Answer: NdEuYTh